1.
Entry from OQMD via LeMat-Bulk: crystalline UTePd at its relaxed geometry (PBE).

Cell and atoms, written as POSCAR:
```
UTePd
1.0
0.000 3.457 3.457
3.457 0.000 3.457
3.457 3.457 0.000
Pd Te U
1 1 1
Direct
0.000 0.000 0.000 Pd
0.500 0.500 0.500 Te
0.250 0.250 0.250 U
```

Values from the calculation:
V   27.53 A^3/atom
Calculated total energy   -20.0 eV for the cell shown
SG   No. 216
Energy relative to the lowest polymorph listed for this composition   192 meV per atom
Total magnetization   2.3 μB/cell

---

2.
Entry from OQMD via LeMat-Bulk: crystalline Cu4Ag at its relaxed geometry (PBE).

Cell and atoms, written as POSCAR:
```
Cu4Ag
1.0
-1.418 -2.249 -3.673
-1.268 -1.764 1.570
-8.495 6.643 0.605
Ag Cu
2 8
Direct
0.222 0.500 0.101 Ag
0.778 0.500 0.899 Ag
0.721 0.000 0.119 Cu
0.611 0.500 0.310 Cu
0.107 0.000 0.312 Cu
0.500 0.000 0.500 Cu
0.000 0.500 0.500 Cu
0.893 0.000 0.688 Cu
0.389 0.500 0.690 Cu
0.279 0.000 0.881 Cu
```

Values from the calculation:
V   13.06 A^3/atom
Calculated total energy   -34.7 eV for the cell shown
SG   No. 10
Energy relative to the lowest polymorph listed for this composition   25 meV per atom
Formation energy   0.0693 eV per atom